# Pr6ZnRu2Cl3 PBE relaxed
data_Pr6ZnRu2Cl3
_cell_length_a 7.1732
_cell_length_b 12.4472
_cell_length_c 8.0212
_cell_angle_alpha 90.00
_cell_angle_beta 107.23
_cell_angle_gamma 90.00
_symmetry_space_group_name_H-M 'C 1 2/m 1'
_symmetry_Int_Tables_number 12
loop_
_symmetry_equiv_pos_as_xyz
'x,y,z'
'-x,-y,-z'
'-x,y,-z'
'x,-y,z'
'x+1/2,y+1/2,z'
'-x+1/2,-y+1/2,-z'
'-x+1/2,y+1/2,-z'
'x+1/2,-y+1/2,z'
loop_
_atom_site_label
_atom_site_fract_x
_atom_site_fract_y
_atom_site_fract_z
Pr1 0.2135 0.0000 0.2111
Pr2 0.2475 0.3218 0.2099
Zn1 0.0000 0.5000 0.0000
Ru1 0.0000 0.1660 0.0000
Cl1 0.0000 0.0000 0.5000
Cl2 0.0000 0.3283 0.5000
# Volume: 684.0 Å³/cell
# E_form (uncorrected): -0.8792 eV/atom
# Electronic total energy: -5.38 eV per atom